# LaRh2Pb, PBEsol geometry, DFT SCAN
# Energy relative to the elements (meV per atom): -398
# VASP energy (eV for the cell shown): -188.02
data_LaRh2Pb
_space_group_name_H-M_alt 'P 4 m m'
_space_group_IT_number 99
_cell_length_a 3.866
_cell_length_b 3.866
_cell_length_c 5.541
_cell_angle_alpha 90.00
_cell_angle_beta 90.00
_cell_angle_gamma 90.00
loop_
_space_group_symop_operation_xyz
'x,y,z'
'-y,x,z'
'-x,-y,z'
'y,-x,z'
'-x,y,z'
'y,x,z'
'x,-y,z'
'-y,-x,z'
loop_
_atom_site_label
_atom_site_fract_x
_atom_site_fract_y
_atom_site_fract_z
La1 0.000 0.000 0.000
Rh1 0.000 0.000 0.521
Rh2 0.500 0.500 0.851
Pb1 0.500 0.500 0.366

***

# La2YZn, PBEsol geometry, DFT SCAN
# Energy relative to the elements (meV per atom): -39
# VASP energy (eV for the cell shown): -127.72
# Polymorph energy (0 for the lowest one) (eV/atom): 0.154
data_La2YZn
_space_group_name_H-M_alt 'P 4/m m m'
_space_group_IT_number 123
_space_group_name_Hall '-P 4 2'
_cell_length_a 5.536
_cell_length_b 5.536
_cell_length_c 3.705
_cell_angle_alpha 90.00
_cell_angle_beta 90.00
_cell_angle_gamma 90.00
loop_
_atom_site_label
_atom_site_fract_x
_atom_site_fract_y
_atom_site_fract_z
La1 0.000 0.500 0.000
Y1 0.000 0.000 0.500
Zn1 0.500 0.500 0.500

***

# BaPbBr2, PBEsol geometry, DFT SCAN
# VASP energy (eV for the cell shown): -318.28
# Polymorph energy (0 for the lowest one) (eV/atom): 0.072
data_BaPbBr2
_space_group_name_H-M_alt 'C 1 2/m 1'
_space_group_IT_number 12
_cell_length_a 7.555
_cell_length_b 10.062
_cell_length_c 3.997
_cell_angle_alpha 90.00
_cell_angle_beta 119.14
_cell_angle_gamma 90.00
loop_
_space_group_symop_operation_xyz
'x,y,z'
'-x,-y,-z'
'-x,y,-z'
'x,-y,z'
'x+1/2,y+1/2,z'
'-x+1/2,-y+1/2,-z'
'-x+1/2,y+1/2,-z'
'x+1/2,-y+1/2,z'
loop_
_atom_site_label
_atom_site_fract_x
_atom_site_fract_y
_atom_site_fract_z
Ba1 0.000 0.000 0.000
Pb1 0.000 0.500 0.000
Br1 0.250 0.250 0.500

***

Repeat the first record exactly.
# LaRh2Pb, PBEsol geometry, DFT SCAN
# Energy relative to the elements (meV per atom): -398
# VASP energy (eV for the cell shown): -188.02
data_LaRh2Pb
_space_group_name_H-M_alt 'P 4 m m'
_space_group_IT_number 99
_cell_length_a 3.866
_cell_length_b 3.866
_cell_length_c 5.541
_cell_angle_alpha 90.00
_cell_angle_beta 90.00
_cell_angle_gamma 90.00
loop_
_space_group_symop_operation_xyz
'x,y,z'
'-y,x,z'
'-x,-y,z'
'y,-x,z'
'-x,y,z'
'y,x,z'
'x,-y,z'
'-y,-x,z'
loop_
_atom_site_label
_atom_site_fract_x
_atom_site_fract_y
_atom_site_fract_z
La1 0.000 0.000 0.000
Rh1 0.000 0.000 0.521
Rh2 0.500 0.500 0.851
Pb1 0.500 0.500 0.366

***

Which formula does entry 2 have? La2YZn

***

Which formula does entry 2 have? La2YZn